VASP calculation (PBE) on a geometry-optimized Rb2CuBr2F2 structure.

Cell lengths 8.6333, 8.6333, 8.6333 Å; angles 148.79, 148.79, 44.72 degrees
Last column: nearest neighbours and their distance in Å.
Fractional positions:
Rb: 0.1145 0.1145 0.0000  4 F 2.96
Rb: 0.8855 0.8855 0.0000  4 F 2.96
Cu: 0.5000 0.5000 0.0000  4 F 2.32, 2 Br 2.44
Br: 0.3474 0.3474 0.0000  1 Cu 2.44
Br: 0.6526 0.6526 0.0000  1 Cu 2.44
F: 0.0000 0.5000 0.5000  2 Cu 2.32
F: 0.5000 0.0000 0.5000  2 Cu 2.32

Properties
Formation energy without anion corrections, eV per formula unit: -11.424